No. 1
GGA-PBE DyTm2InGa2Hg3, relaxed; final energy = -27.261 eV per formula unit; calculated volume = 207 Å³/cell
1.0
-3.6361 -1.3115 -2.2045
4.2100 -3.5512 -4.8314
-2.4039 -3.4348 6.0084
Dy Ga Hg In Tm
1 2 3 1 2
direct
0.0000 0.5626 0.5626
0.5000 0.6672 0.3322
0.5000 0.3322 0.6672
0.5000 0.7358 0.0000
0.5000 0.2634 0.2634
0.5000 0.0000 0.7358
0.0000 0.0014 0.0014
0.0000 0.9997 0.4379
0.0000 0.4379 0.9997

***

No. 2
GGA-PBE Dy3Mg3Ga2Hg, relaxed; final energy = -29.219 eV per formula unit; calculated volume = 208 Å³/cell
1.0
7.3409 0.0000 0.0000
-3.6704 6.3574 0.0000
0.0000 0.0000 4.4488
Dy Ga Hg Mg
3 2 1 3
direct
0.5724 0.0000 0.0000
0.4276 0.4276 0.0000
0.0000 0.5724 0.0000
0.6667 0.3333 0.5000
0.3333 0.6667 0.5000
0.0000 0.0000 0.0000
0.2484 0.0000 0.5000
0.0000 0.2484 0.5000
0.7516 0.7516 0.5000

***

No. 3
GGA-PBE DyHoGa2, relaxed; final energy = -17.758 eV per formula unit; calculated volume = 95 Å³/cell; excess energy over the best structure of this formula in the dataset = 0.0000 eV per atom
1.0
-3.9289 0.9184 -0.3123
-0.4165 0.1991 5.8256
0.6183 4.0592 4.1584
Dy Ga Ho
1 2 1
direct
0.0000 0.6394 0.6394
0.5000 0.0769 0.0769
0.0000 0.9230 0.9230
0.5000 0.3607 0.3607

***

No. 4
GGA-PBE DyHoGa2, relaxed; final energy = -16.495 eV per formula unit; calculated volume = 184 Å³/cell; excess energy over the best structure of this formula in the dataset = 0.3157 eV per atom
1.0
5.1525 0.0000 0.0000
0.0000 5.9267 3.0178
0.0000 -5.9267 3.0178
Dy Ga Ho
2 4 2
direct
0.2500 0.3026 0.1612
0.7500 0.1612 0.3026
0.2500 0.8470 0.1844
0.2500 0.7965 0.6790
0.7500 0.6790 0.7965
0.7500 0.1844 0.8470
0.7500 0.7046 0.3247
0.2500 0.3247 0.7046

***

No. 5
GGA-PBE Dy2Ho3Ga3, relaxed; final energy = -35.121 eV per formula unit; calculated volume = 202 Å³/cell; excess energy over the best structure of this formula in the dataset = 0.0000 eV per atom
1.0
-5.6712 1.8186 -2.8979
-2.2557 -0.2927 4.2309
3.0504 5.5468 2.0100
Dy Ga Ho
2 3 3
direct
0.6710 0.5000 0.4159
0.3694 0.0000 0.6233
0.1804 0.5000 0.3185
0.8717 0.0000 0.6295
0.5707 0.5000 0.9292
0.8756 0.0000 0.1243
0.3771 0.0000 0.1251
0.0840 0.5000 0.8341

***

No. 6
GGA-PBE DyHo2Ga, relaxed; final energy = -17.761 eV per formula unit; calculated volume = 207 Å³/cell; excess energy over the best structure of this formula in the dataset = 0.0106 eV per atom
1.0
-0.9143 6.7054 0.3861
-3.1678 -3.5888 -4.7993
-4.0267 -0.7337 3.2064
Dy Ga Ho
2 2 4
direct
0.3242 0.6758 0.2500
0.6758 0.3242 0.7500
0.8340 0.1660 0.2500
0.1660 0.8340 0.7500
0.3243 0.1491 0.2500
0.8509 0.6757 0.2500
0.1491 0.3243 0.7500
0.6757 0.8509 0.7500

***

No. 7
GGA-PBE Dy2Ho5Ga, relaxed; final energy = -35.508 eV per formula unit; calculated volume = 232 Å³/cell
1.0
-4.4382 2.6468 -1.7729
-3.4851 -6.0671 -0.3333
-3.5889 -2.2929 5.5613
Dy Ga Ho
2 1 5
direct
0.5000 0.3277 0.3277
0.0000 0.6709 0.6709
0.0000 0.1660 0.1660
0.0000 0.6711 0.1588
0.5000 0.8439 0.3281
0.0000 0.1588 0.6711
0.5000 0.8336 0.8336
0.5000 0.3281 0.8439

***

No. 8
GGA-PBE Dy2HoGa5, relaxed; final energy = -32.887 eV per formula unit; calculated volume = 170 Å³/cell
1.0
4.7647 0.0000 0.0000
0.0000 3.6666 4.8764
0.0000 -3.6666 4.8764
Dy Ga Ho
2 5 1
direct
0.0000 0.3280 0.3280
0.5000 0.6466 0.6466
0.5000 0.1261 0.1261
0.5000 0.6345 0.1496
0.0000 0.8272 0.3869
0.5000 0.1496 0.6345
0.0000 0.3869 0.8272
0.0000 0.9009 0.9009

***

No. 9
GGA-PBE DyHo2Ga5, relaxed; final energy = -32.861 eV per formula unit; calculated volume = 170 Å³/cell
1.0
-3.2158 -1.6780 3.2126
1.3970 4.5377 3.7685
-3.7098 4.6130 -1.3041
Dy Ga Ho
1 5 2
direct
0.0000 0.9060 0.9060
0.5000 0.1250 0.1250
0.5000 0.6272 0.1496
0.0000 0.8224 0.3985
0.5000 0.1496 0.6272
0.0000 0.3985 0.8224
0.0000 0.3260 0.3260
0.5000 0.6452 0.6452

***

No. 10
GGA-PBE Dy3Ho2Ga3, relaxed; final energy = -33.881 eV per formula unit; calculated volume = 202 Å³/cell; excess energy over the best structure of this formula in the dataset = 0.1547 eV per atom
1.0
6.8617 0.0000 0.0000
-3.4308 5.9424 0.0000
0.0000 0.0000 4.9604
Dy Ga Ho
3 3 2
direct
0.3523 0.1762 0.5000
0.8238 0.1762 0.5000
0.8238 0.6477 0.5000
0.5156 0.0313 0.0000
0.5156 0.4844 0.0000
0.9687 0.4844 0.0000
0.0000 0.0000 0.0000
0.3333 0.6667 0.5000

***

No. 11
GGA-PBE DyHoGa2, relaxed; final energy = -16.600 eV per formula unit; calculated volume = 188 Å³/cell; excess energy over the best structure of this formula in the dataset = 0.2895 eV per atom
1.0
5.0737 0.0000 0.0000
0.0000 3.1857 5.8028
0.0000 -3.1857 5.8028
Dy Ga Ho
2 4 2
direct
0.0000 0.6969 0.1737
0.0000 0.1737 0.6969
0.0000 0.1673 0.1673
0.5000 0.7844 0.3533
0.5000 0.3533 0.7844
0.5000 0.8442 0.8442
0.5000 0.2992 0.2992
0.0000 0.6809 0.6809

***

No. 12
GGA-PBE Dy3Ho2Ga3, relaxed; final energy = -34.015 eV per formula unit; calculated volume = 204 Å³/cell; excess energy over the best structure of this formula in the dataset = 0.1381 eV per atom
1.0
5.4793 0.0000 0.0000
0.0000 3.6406 5.1047
0.0000 -3.6406 5.1047
Dy Ga Ho
3 3 2
direct
0.5000 0.6881 0.1876
0.5000 0.1876 0.6881
0.0000 0.8694 0.8694
0.5000 0.1699 0.1699
0.0000 0.7437 0.3943
0.0000 0.3943 0.7437
0.0000 0.2656 0.2656
0.5000 0.6814 0.6814

***

No. 13
GGA-PBE Dy3Ho2Ga3, relaxed; final energy = -35.119 eV per formula unit; calculated volume = 201 Å³/cell; excess energy over the best structure of this formula in the dataset = 0.0000 eV per atom
1.0
6.5801 0.0000 0.0000
0.0000 4.8146 0.0000
-1.9800 0.0000 6.3501
Dy Ga Ho
3 3 2
direct
0.8622 0.5000 0.1221
0.8812 0.5000 0.6315
0.1767 0.0000 0.9146
0.3675 0.5000 0.1267
0.0732 0.0000 0.4259
0.6805 0.0000 0.8232
0.5828 0.0000 0.3380
0.3757 0.5000 0.6179